## LaErNi2 (PBE-GGA)

Data for a relaxed LaErNi2 crystal.

Formation energy = -324 meV per atom
SG = No. 123
Total moment = 0.00 μB/f.u.

Lattice parameters (Å, degrees): 3.428 3.428 6.927 90.00 90.00 90.00
Fractional coordinates of all 4 atoms:
La  0.000  0.000  0.000
Er  0.000  0.000  0.500
Ni  0.500  0.500  0.277
Ni  0.500  0.500  0.723